(1)
Material: Li2CaTl
Method: DFT, PBE
State: optimized geometry

Cell: 5.5661 5.5661 5.1446 Å, 62.53 62.53 44.22°
Closest atoms and distances in Å follow each position.
Atoms (fractional coordinates):
Tl 0.4789 0.4789 0.5215  2 Li 2.97, 4 Ca 3.22-3.28
Ca 0.2518 0.2518 0.2483  4 Tl 3.22-3.28, 8 Li 3.22-3.32
Li 0.0251 0.0251 0.9747  2 Li 2.87
Li 0.7442 0.7442 0.7554  2 Li 2.87, 2 Tl 2.97

Summary:
* E: -2.259 eV/atom

=====

(2)
Material: LiCa6Tl
Method: DFT, PBE
State: optimized geometry

Cell: 5.4983 5.4984 10.2100 Å, 74.37 74.37 90.00°
Closest atoms and distances in Å follow each position.
Atoms (fractional coordinates):
Li 0.0000 0.0000 0.0000  8 Ca 3.35
Ca 0.7506 0.7506 0.4987  12 Ca 3.89-3.94
Ca 0.6010 0.1010 0.7980  2 Li 3.35, 2 Tl 3.35
Ca 0.1010 0.6010 0.7980  2 Tl 3.35, 2 Li 3.35
Ca 0.3990 0.8990 0.2020  2 Li 3.35, 2 Tl 3.35
Ca 0.2494 0.2494 0.5013  12 Ca 3.89-3.94
Ca 0.8990 0.3990 0.2020  2 Tl 3.35, 2 Li 3.35
Tl 0.5000 0.5000 0.0000  8 Ca 3.35

Summary:
* E: -2.162 eV/atom

=====

(3)
Material: LiCa3Tl
Method: DFT, PBE
State: optimized geometry

Cell: 6.0466 6.0466 6.0466 Å, 90.00 90.00 90.00°
Closest atoms and distances in Å follow each position.
Atoms (fractional coordinates):
Tl 0.0000 0.0000 0.0000  6 Ca 3.02
Ca 0.0000 0.5000 0.0000  2 Tl 3.02
Ca 0.0000 0.0000 0.5000  2 Tl 3.02
Ca 0.5000 0.0000 0.0000  2 Tl 3.02
Li 0.5000 0.5000 0.5000  12 Ca 4.28

Summary:
* E: -2.000 eV/atom